(1)
LiIn3Co | GGA-PBEsol | optimized geometry

a = 4.727 Å, b = 4.727 Å, c = 4.727 Å
α = 90.00°, β = 90.00°, γ = 90.00°
Space group Pm-3m (No. 221)
One atom of each set of equivalent atoms:
Li1 0.000 0.000 0.000 [1 per cell]
In1 0.000 0.000 0.500 [3 per cell]
Co1 0.500 0.500 0.500 [1 per cell]

Results
Total moment ... 1.87 μB/f.u.
DOS(E_F) ... 6.008 states/eV/f.u.
E_form ... 74 kJ per mole of atoms

---

(2)
LiInCo2Ru | GGA-PBEsol | optimized geometry

a = 4.570 Å, b = 4.570 Å, c = 4.249 Å
α = 90.00°, β = 90.00°, γ = 90.00°
Space group P4/mmm (No. 123)
One atom of each set of equivalent atoms:
Li1 0.000 0.000 0.000 [1 per cell]
In1 0.000 0.000 0.500 [1 per cell]
Co1 0.000 0.500 0.500 [2 per cell]
Ru1 0.500 0.500 0.000 [1 per cell]

Results
Total moment ... 5.27 μB/f.u.
DOS(E_F) ... 5.735 states/eV/f.u.
E_form ... 165 kJ per mole of atoms

---

(3)
Lu8In3Co | GGA-PBEsol | optimized geometry

a = 9.9731 Å, b = 9.9731 Å, c = 6.7286 Å
α = 90.00°, β = 90.00°, γ = 120.00°
Space group P6_3mc (No. 186)
One atom of each set of equivalent atoms:
Lu1 0.0000 0.0000 0.2801 [2 per cell]
Lu2 0.0678 0.5339 0.2921 [6 per cell]
Lu3 0.1791 0.3583 0.0000 [6 per cell]
Lu4 0.3333 0.6667 0.6816 [2 per cell]
In1 0.1626 0.3253 0.5382 [6 per cell]
Co1 0.3333 0.6667 0.0696 [2 per cell]

Results
Total moment ... 0.00 μB/f.u.
DOS(E_F) ... 3.393 states/eV/f.u.
E_form ... -38 kJ per mole of atoms

---

(4)
Lu6InCo2 | GGA-PBEsol | optimized geometry

a = 9.064 Å, b = 9.186 Å, c = 9.621 Å
α = 90.00°, β = 90.00°, γ = 90.00°
Space group Immm (No. 71)
One atom of each set of equivalent atoms:
Lu1 0.000 0.214 0.233 [8 per cell]
Lu2 0.199 0.500 0.185 [8 per cell]
Lu3 0.212 0.312 0.500 [8 per cell]
In1 0.000 0.000 0.000 [2 per cell]
In2 0.000 0.000 0.500 [2 per cell]
Co1 0.000 0.376 0.000 [4 per cell]
Co2 0.000 0.500 0.386 [4 per cell]

Results
Total moment ... 0.00 μB/f.u.
DOS(E_F) ... 6.625 states/eV/f.u.
E_form ... -32 kJ per mole of atoms